Computed, not measured: an optimized crystal structure of Al3GaPd at the PBE level of DFT.

Output
DFT formation energy: 622.2 meV per atom
polymorph energy (0 for the lowest one): 623 meV per atom

Cell lengths 4.7402, 4.7402, 4.7402 Å; angles 90.00, 90.00, 90.00 degrees
Closest atoms and distances in Å follow each position.
Space group Pm-3m (No. 221)
One atom of each set of equivalent atoms:
1 Al 0.0000 0.0000 0.5000 x3  2 Ga 2.37
2 Ga 0.0000 0.0000 0.0000 x1  6 Al 2.37
3 Pd 0.5000 0.5000 0.5000 x1  12 Al 3.35

=====

Computed, not measured: an optimized crystal structure of KBi at the PBE level of DFT.

Output
DFT formation energy: 390.4 meV per atom

Cell lengths 6.3211, 6.3211, 7.3216 Å; angles 90.00, 90.00, 120.00 degrees
Closest atoms and distances in Å follow each position.
Space group P6_3/mmc (No. 194)
One atom of each set of equivalent atoms:
1 K 0.3333 0.6667 0.2500 x2  5 Bi 3.65-3.66
2 Bi 0.3333 0.6667 0.7500 x2  5 K 3.65-3.66

=====

Computed, not measured: an optimized crystal structure of ZrRuAu2 at the PBE level of DFT.

Output
DFT formation energy: -136.5 meV per atom
polymorph energy (0 for the lowest one): 237 meV per atom

Cell lengths 3.6211, 3.6211, 5.5145 Å; angles 90.00, 90.00, 90.00 degrees
Closest atoms and distances in Å follow each position.
Space group P4/mmm (No. 123)
One atom of each set of equivalent atoms:
1 Zr 0.0000 0.0000 0.0000 x1  2 Ru 2.76, 8 Au 2.92
2 Ru 0.0000 0.0000 0.5000 x1  2 Zr 2.76, 8 Au 2.90
3 Au 0.5000 0.5000 0.2527 x2  2 Au 2.73-2.79, 4 Ru 2.90, 4 Zr 2.92

=====

Computed, not measured: an optimized crystal structure of Zn2SiW at the PBE level of DFT.

Output
ΔE_f (raw): 0.11 eV per atom

Cell lengths 3.2839, 3.2839, 5.4757 Å; angles 90.00, 90.00, 90.00 degrees
Closest atoms and distances in Å follow each position.
Space group P4mm (No. 99)
One atom of each set of equivalent atoms:
1 Zn 0.0000 0.0000 0.0000 x1  4 Zn 2.63, 2 Si 2.67-2.81, 4 W 2.80
2 Zn 0.5000 0.5000 0.2271 x1  4 Zn 2.63, 2 W 2.67-2.80, 4 Si 2.80
3 Si 0.0000 0.0000 0.5130 x1  4 W 2.57, 6 Zn 2.67-2.81
4 W 0.5000 0.5000 0.7149 x1  4 Si 2.57, 6 Zn 2.67-2.80

=====

Computed, not measured: an optimized crystal structure of MnCd2HRh at the PBE level of DFT.

Output
final energy: -21.01 eV per cell

Cell lengths 4.5861, 4.5861, 3.4017 Å; angles 90.00, 90.00, 90.00 degrees
Closest atoms and distances in Å follow each position.
Space group P4/mmm (No. 123)
One atom of each set of equivalent atoms:
1 Mn 0.0000 0.0000 0.0000 x1  2 H 1.70
2 Cd 0.0000 0.5000 0.5000 x2  2 H 2.29
3 H 0.0000 0.0000 0.5000 x1  2 Mn 1.70
4 Rh 0.5000 0.5000 0.0000 x1  8 Cd 2.85

=====

Computed, not measured: an optimized crystal structure of CsCoSe2Br at the PBE level of DFT.

Output
ΔE_f (raw): 1.29 eV per atom
polymorph energy (0 for the lowest one): 1685 meV per atom

Cell lengths 5.7201, 5.7201, 6.5279 Å; angles 90.00, 90.00, 90.00 degrees
Closest atoms and distances in Å follow each position.
Space group P4/mmm (No. 123)
One atom of each set of equivalent atoms:
1 Cs 0.0000 0.0000 0.0000 x1  4 Se 2.86
2 Co 0.5000 0.5000 0.5000 x1  4 Br 4.04, 8 Se 4.34
3 Se 0.0000 0.5000 0.0000 x2  2 Cs 2.86
4 Br 0.0000 0.0000 0.5000 x1  2 Cs 3.26

=====

Computed, not measured: an optimized crystal structure of TcSe2BrO at the PBE level of DFT.

Output
ΔE_f (raw): 0.76 eV per atom
polymorph energy (0 for the lowest one): 0 meV per atom

Cell lengths 4.1488, 4.1488, 6.0259 Å; angles 90.00, 90.00, 90.00 degrees
Closest atoms and distances in Å follow each position.
Space group P4/mmm (No. 123)
One atom of each set of equivalent atoms:
1 Tc 0.0000 0.0000 0.0000 x1  4 Br 2.93
2 Se 0.0000 0.5000 0.5000 x2  2 O 2.07
3 Br 0.5000 0.5000 0.0000 x1  4 Tc 2.93, 2 O 3.01
4 O 0.5000 0.5000 0.5000 x1  4 Se 2.07

=====

For the records above, the corresponding total magnetization values read 0.00; 1.99; 0.26; 0.00; 3.64; 2.63; 4.53 μB per formula unit.